First-principles (PBE+U) data for an optimized crystal structure of Li4CuNi3O8, as listed in the Alexandria database.

The calculation puts the density of states at the Fermi level at 0.039 states/eV per atom. As for the crystal system: monoclinic. The value obtained for the calculated total energy is -4.91 eV/atom.

The space group is C2/m (No. 12) and the conventional cell measures 10.488, 5.572 and 5.722 Å, with angles of 90.00, 122.29 and 90.00 degrees. The distinct sites, in fractional coordinates, are Li at (0.000, 0.000, 0.000), Li at (0.000, 0.500, 0.000), Li at (0.250, 0.250, 0.500), Cu at (0.000, 0.000, 0.500), Ni at (0.000, 0.500, 0.500), Ni at (0.250, 0.250, 0.000), O at (0.004, 0.245, 0.726), O at (0.226, 0.500, 0.199) and O at (0.247, 0.500, 0.767).